Density functional theory data (PBE) for a relaxed NaAg3P crystal.

Values from the calculation:
- ΔE to the lowest computed polymorph (meV per atom) = 996.0
- calculated formation energy (meV/atom) = 1071
- density (Mg/m³) = 5.513

Unit cell a=4.845 b=4.845 c=4.845 alpha=90.00 beta=90.00 gamma=90.00
Space group Pm-3m (No. 221)
One atom of each set of equivalent atoms:
Na 0.000 0.000 0.000 [1 per cell]
Ag 0.000 0.000 0.500 [3 per cell]
P 0.500 0.500 0.500 [1 per cell]

=====

Density functional theory data (PBE) for a relaxed RbCdBi2 crystal.

Values from the calculation:
- calculated formation energy (meV/atom) = -82
- density (Mg/m³) = 5.928

Unit cell a=5.5016 b=5.5016 c=19.7453 alpha=90.00 beta=90.00 gamma=120.00
Space group R-3m (No. 166, hexagonal axes)
One atom of each set of equivalent atoms:
Rb 0.0000 0.0000 0.0000 [3 per cell]
Cd 0.0000 0.0000 0.5000 [3 per cell]
Bi 0.0000 0.0000 0.1937 [6 per cell]

=====

Density functional theory data (PBE) for a relaxed MgMo2Br crystal.

Values from the calculation:
- ΔE to the lowest computed polymorph (meV per atom) = 546.0
- density (Mg/m³) = 6.890
- raw formation energy (meV/atom) = 673

Unit cell a=3.100 b=4.552 c=5.057 alpha=90.00 beta=90.00 gamma=90.00
Space group Pmmm (No. 47)
One atom of each set of equivalent atoms:
Mg 0.000 0.000 0.000 [1 per cell]
Mo 0.000 0.500 0.500 [1 per cell]
Mo 0.500 0.000 0.500 [1 per cell]
Br 0.500 0.500 0.000 [1 per cell]

=====

Density functional theory data (PBE) for a relaxed AgWBr2 crystal.

Values from the calculation:
- ΔE to the lowest computed polymorph (meV per atom) = 0.0
- density (Mg/m³) = 6.880
- raw formation energy (meV/atom) = 348

Unit cell a=15.086 b=3.084 c=4.959 alpha=90.00 beta=109.12 gamma=90.00
Space group C2/m (No. 12)
One atom of each set of equivalent atoms:
Ag 0.000 0.000 0.000 [2 per cell]
W 0.000 0.500 0.500 [2 per cell]
Br 0.147 0.000 0.647 [4 per cell]

=====

Density functional theory data (PBE) for a relaxed LuTiGa4 crystal.

Values from the calculation:
- calculated formation energy (meV/atom) = -366
- density (Mg/m³) = 8.000

Unit cell a=7.468 b=7.468 c=7.468 alpha=90.00 beta=90.00 gamma=90.00
Space group F-43m (No. 216)
One atom of each set of equivalent atoms:
Lu 0.000 0.000 0.000 [4 per cell]
Ti 0.250 0.250 0.750 [4 per cell]
Ga 0.125 0.125 0.375 [16 per cell]

=====

Density functional theory data (PBE) for a relaxed ZnNi2Sb crystal.

Values from the calculation:
- density (Mg/m³) = 8.077
- raw formation energy (meV/atom) = -52

Unit cell a=4.0513 b=4.0513 c=13.2144 alpha=90.00 beta=90.00 gamma=120.00
Space group R3m (No. 160, hexagonal axes)
One atom of each set of equivalent atoms:
Zn 0.0000 0.0000 0.0000 [3 per cell]
Ni 0.0000 0.0000 0.4050 [3 per cell]
Ni 0.0000 0.0000 0.7990 [3 per cell]
Sb 0.0000 0.0000 0.2092 [3 per cell]